[1]
15
Lattice="-4.845 -4.950 -4.155 0.186 -0.363 8.066 -4.254 7.204 -3.621" Properties=species:S:1:pos:R:3 comment="K3Tm3MnSe8 PBE optimized geometry" n_ef_per_ev_atom=0.04 spacegroup=R-3m pbc="T T T"
K 0.000 0.000 0.000
K 0.093 -0.181 4.033
K -2.329 -2.656 1.955
Tm -4.550 1.127 -3.888
Tm -4.456 0.946 0.145
Tm -2.034 3.421 2.222
Mn -2.127 3.602 -1.811
Se -2.447 0.628 2.106
Se -6.466 1.264 -1.816
Se -5.024 -1.844 0.204
Se -3.889 3.735 0.085
Se -5.125 -1.647 -4.173
Se -3.788 3.538 4.462
Se -2.496 1.039 -1.918
Se -6.417 0.852 2.207


[2]
16
Lattice="8.350 0.017 -0.095 0.011 8.350 -0.095 -4.047 -4.049 6.292" Properties=species:S:1:pos:R:3 comment="K2TmMnSe4 PBE optimized geometry" n_ef_per_ev_atom=0.04 spacegroup=C2/c pbc="T T T"
K 4.175 0.009 -0.048
K 2.152 -2.016 3.098
K -2.023 -2.025 3.146
K 4.180 4.183 -0.095
Tm 0.006 4.175 -0.048
Tm 6.332 2.167 3.003
Mn 2.157 2.159 3.051
Mn 4.303 -4.032 6.197
Se -2.281 2.363 5.996
Se 4.096 0.406 3.251
Se 0.219 3.911 2.850
Se 6.596 1.954 0.105
Se 2.594 2.387 6.069
Se 4.086 3.880 3.082
Se 0.228 0.437 3.019
Se 1.720 1.930 0.032


[3]
14
Lattice="6.753 0.000 -0.126 0.000 6.605 0.000 -2.813 0.000 8.818" Properties=species:S:1:pos:R:3 comment="KUMnSe4 PBE optimized geometry" n_ef_per_ev_atom=0.83 spacegroup=P2_1/m pbc="T T T"
K 2.378 4.954 8.241
K 1.562 1.651 0.451
U 3.918 4.954 3.844
U 0.021 1.651 4.848
Mn 0.621 4.954 2.893
Mn 3.319 1.651 5.799
Se -1.815 3.393 6.239
Se 5.755 0.090 2.454
Se 5.755 3.212 2.454
Se -1.815 6.515 6.239
Se 2.498 4.954 1.419
Se 1.441 1.651 7.273
Se 1.382 4.954 5.142
Se 2.558 1.651 3.550


[4]
10
Lattice="-0.059 -7.343 -0.385 7.348 -0.048 -0.254 3.829 -3.976 4.881" Properties=species:S:1:pos:R:3 comment="K2UMnSe6 PBE optimized geometry" n_ef_per_ev_atom=0.84 spacegroup=C2/m pbc="T T T"
K 7.411 -3.859 2.154
K 3.707 -7.507 2.088
U 0.000 0.000 0.000
Mn 3.645 -3.695 -0.319
Se 9.275 -5.896 4.594
Se 9.247 -9.469 4.406
Se 3.734 -3.832 2.221
Se 1.843 -5.470 -0.351
Se 1.871 -1.897 -0.163
Se 7.384 -7.534 2.022


[5]
12
Lattice="-4.222 1.606 5.349 1.750 -6.672 -1.196 6.909 2.464 3.187" Properties=species:S:1:pos:R:3 comment="K3UMn2Se6 PBE optimized geometry" n_ef_per_ev_atom=0.01 spacegroup=C2/m pbc="T T T"
K 4.206 -4.056 1.492
K 0.231 1.454 5.848
K 2.218 -1.301 3.670
U 0.000 0.000 0.000
Mn -0.241 -3.913 0.986
Mn -2.231 -1.153 3.167
Se 2.658 -0.517 6.847
Se -0.454 -3.216 3.654
Se 1.778 -2.085 0.493
Se 4.661 -3.293 4.652
Se 4.890 0.614 3.686
Se -0.225 0.691 2.688


[6]
12
Lattice="4.176 0.000 0.000 0.000 9.153 0.347 0.000 -3.215 9.102" Properties=species:S:1:pos:R:3 comment="KUMnSe3 PBE optimized geometry" n_ef_per_ev_atom=1.02 spacegroup=P2_1/m pbc="T T T"
K 3.132 4.871 7.212
K 1.044 1.066 2.236
U 1.044 5.636 1.605
U 3.132 0.301 7.844
Mn 1.044 -1.195 5.475
Mn 3.132 7.132 3.974
Se 1.044 5.779 4.495
Se 3.132 7.648 1.541
Se 3.132 3.649 1.617
Se 3.132 0.158 4.954
Se 1.044 2.288 7.831
Se 1.044 -1.711 7.907


[7]
18
Lattice="-3.261 -0.581 -2.539 7.711 -0.818 -6.286 0.539 -13.694 2.442" Properties=species:S:1:pos:R:3 comment="K2UMnSe5 PBE optimized geometry" n_ef_per_ev_atom=0.69 spacegroup=Cmc2_1 pbc="T T T"
K 3.427 -12.518 -4.966
K 1.838 -9.683 -0.145
K 1.651 -4.808 -1.019
K 3.084 -3.700 -6.543
U 2.264 -8.126 -4.478
U 2.482 -0.780 -3.009
Mn -0.274 -13.104 -0.079
Mn 5.451 -6.762 -5.452
Se 4.093 -0.899 -5.050
Se 1.225 -12.855 -2.061
Se -1.125 -11.060 0.546
Se 4.023 -9.636 -2.961
Se 4.010 -8.376 -6.662
Se 0.639 -7.655 -2.499
Se 3.910 -5.959 -3.658
Se 6.152 -5.001 -6.756
Se 0.864 -2.850 -3.886
Se 0.731 -0.393 -0.849


[8]
16
Lattice="8.342 0.000 0.000 0.000 9.085 0.515 -4.171 -4.167 5.903" Properties=species:S:1:pos:R:3 comment="K4U3MnSe8 PBE optimized geometry" n_ef_per_ev_atom=1.00 spacegroup=R-3m pbc="T T T"
K 4.171 0.000 0.000
K 2.086 -2.083 2.952
K 0.000 0.000 0.000
K -2.086 -2.083 2.952
U 4.171 4.543 0.258
U 2.086 2.459 3.209
U -2.086 2.459 3.209
Mn 0.000 4.543 0.258
Se -2.127 2.330 6.095
Se 0.000 4.454 3.087
Se 0.000 0.442 3.259
Se 2.127 2.330 6.095
Se 2.044 2.589 0.324
Se 4.171 4.477 3.159
Se 4.171 0.465 3.331
Se 6.298 2.589 0.324


[9]
14
Lattice="6.265 0.000 -1.151 0.000 6.880 0.000 -4.142 0.000 9.250" Properties=species:S:1:pos:R:3 comment="KMnVSe4 PBE optimized geometry" n_ef_per_ev_atom=0.30 spacegroup=P2_1/m pbc="T T T"
K 0.162 5.160 8.027
K 1.961 1.720 0.072
Mn -0.078 5.160 3.011
Mn 2.201 1.720 5.088
V 3.047 5.160 3.384
V -0.924 1.720 4.715
Se -2.272 3.406 6.170
Se 4.395 6.846 1.929
Se 4.395 3.473 1.929
Se -2.272 0.034 6.170
Se 1.559 5.160 1.288
Se 0.564 1.720 6.810
Se 1.231 5.160 4.965
Se 0.892 1.720 3.134


[10]
15
Lattice="8.175 0.000 0.000 -4.088 7.079 -0.033 0.000 -4.686 7.858" Properties=species:S:1:pos:R:3 comment="K3Y3MnSe8 PBE optimized geometry" n_ef_per_ev_atom=0.02 spacegroup=R-3m pbc="T T T"
K 0.000 0.000 0.000
K -2.044 3.539 -0.016
K 2.044 3.539 -0.016
Y 4.087 -2.343 3.929
Y 2.044 1.197 3.913
Y -2.044 1.197 3.913
Mn 0.000 -2.343 3.929
Se 0.000 2.369 2.287
Se 4.087 0.024 5.538
Se 4.087 2.598 2.428
Se 0.000 -0.205 5.397
Se 6.330 -1.284 2.447
Se -2.242 3.677 5.379
Se 1.845 -1.284 2.446
Se 2.242 3.677 5.379


[11]
16
Lattice="4.131 0.000 0.000 -2.065 7.096 0.000 0.000 0.000 14.489" Properties=species:S:1:pos:R:3 comment="KY2MnSe4 PBE optimized geometry" n_ef_per_ev_atom=0.41 spacegroup=Cmcm pbc="T T T"
K 0.000 1.561 10.867
K 2.065 5.534 3.622
Y 0.000 5.220 8.128
Y 2.065 1.876 0.884
Y 2.065 1.876 6.360
Y 0.000 5.220 13.605
Mn 2.065 4.749 10.867
Mn 0.000 2.347 3.622
Se 0.000 3.776 1.608
Se 2.065 3.320 8.852
Se 2.065 3.320 12.881
Se 0.000 3.776 5.637
Se 0.000 0.000 7.244
Se 0.000 0.000 0.000
Se 0.000 6.174 10.867
Se 2.065 0.922 3.622


[12]
16
Lattice="8.589 -0.176 -0.156 -0.182 8.589 -0.156 -4.215 -4.218 6.104" Properties=species:S:1:pos:R:3 comment="K2YMnSe4 PBE optimized geometry" n_ef_per_ev_atom=0.19 spacegroup=Imma pbc="T T T"
K 4.294 -0.088 -0.078
K 2.187 -2.197 2.974
K 6.481 -2.285 2.896
K 4.203 4.206 -0.156
Y -0.091 4.294 -0.078
Y -2.199 2.185 2.974
Mn 2.096 2.097 2.896
Mn 0.000 0.000 0.000
Se -2.384 2.163 5.813
Se 4.305 0.085 3.032
Se -0.114 4.110 2.761
Se 6.575 2.032 -0.021
Se 2.433 2.247 5.510
Se 4.042 3.857 3.179
Se 0.149 0.337 2.614
Se 1.758 1.948 0.282


[13]
12
Lattice="-0.515 1.359 -3.592 2.323 -7.216 -0.976 -10.050 -3.263 0.205" Properties=species:S:1:pos:R:3 comment="KMnZnSe3 PBE optimized geometry" n_ef_per_ev_atom=0.34 spacegroup=P2_1/m pbc="T T T"
Zn -2.638 -0.552 -1.917
Zn -5.603 -8.569 -2.445
Mn 0.000 0.000 0.000
Mn -5.025 -1.631 0.103
K -1.484 -4.071 -1.326
K -6.758 -5.049 -3.036
Se -0.263 -0.951 -2.411
Se -7.251 -3.352 -0.232
Se -4.342 -2.276 -2.328
Se -0.990 -5.769 -4.130
Se -7.978 -8.169 -1.951
Se -3.899 -6.845 -2.034


[14]
9
Lattice="4.005 0.000 0.000 -2.002 7.860 0.171 0.000 -2.552 7.294" Properties=species:S:1:pos:R:3 comment="K2MnZn2Se4 PBE optimized geometry" spacegroup=C2/m pbc="T T T"
K 2.002 4.749 3.466
K 0.000 0.560 4.000
Mn 0.000 0.000 0.000
Zn 0.000 5.141 0.234
Zn 2.002 0.167 7.232
Se 2.002 2.490 6.030
Se 0.000 2.819 1.436
Se 0.000 7.010 1.782
Se 2.002 -1.702 5.684


[15]
12
Lattice="3.829 0.000 0.000 0.000 8.694 0.568 0.000 -3.562 9.371" Properties=species:S:1:pos:R:3 comment="KMnZnSe3 PBE optimized geometry" n_ef_per_ev_atom=0.28 spacegroup=P2_1/m pbc="T T T"
K 0.957 0.956 2.371
K 2.871 4.176 7.568
Mn 0.957 5.274 1.476
Mn 2.871 -0.143 8.463
Zn 0.957 -1.340 5.737
Zn 2.871 6.472 4.202
Se 2.871 6.948 1.745
Se 0.957 -1.817 8.193
Se 0.957 5.145 4.996
Se 2.871 -0.013 4.943
Se 2.871 3.619 1.696
Se 0.957 1.513 8.243


[16]
18
Lattice="-0.490 -0.291 -3.984 -0.256 -9.512 2.759 -13.804 0.847 1.637" Properties=species:S:1:pos:R:3 comment="K2ZrMnSe5 PBE optimized geometry" n_ef_per_ev_atom=0.13 spacegroup=Cmc2_1 pbc="T T T"
K -12.144 -6.845 -0.038
K -9.624 -2.152 1.342
K -4.730 -1.969 0.726
K -3.185 -6.911 -1.136
Zr -7.951 -5.544 -0.649
Zr -0.697 -3.774 0.361
Mn -13.035 -0.616 -0.383
Mn -6.259 -8.049 1.358
Se -0.371 -6.249 0.502
Se -12.759 -2.945 -0.247
Se -10.970 0.183 -0.696
Se -9.452 -5.536 1.568
Se -7.752 -8.455 -0.461
Se -7.370 -3.125 -0.897
Se -5.744 -5.769 1.128
Se -4.290 -9.096 1.192
Se -2.663 -3.569 -1.444
Se -0.199 -0.907 0.091


[17]
14
Lattice="-1.711 -1.147 -6.193 1.862 -6.196 0.633 -7.204 -1.543 6.077" Properties=species:S:1:pos:R:3 comment="KZrMnSe4 PBE optimized geometry" n_ef_per_ev_atom=0.22 spacegroup=P2_1/m pbc="T T T"
K -6.774 -6.973 1.742
K -0.279 -1.914 -1.224
Zr -3.122 -6.209 -1.521
Zr -3.932 -2.678 2.039
Mn -1.450 -5.438 1.105
Mn -5.604 -3.449 -0.587
Se -4.109 -4.284 4.284
Se -3.833 -1.644 -4.068
Se -2.944 -4.603 -3.766
Se -3.220 -7.243 4.586
Se -0.534 -5.387 -1.092
Se -6.519 -3.499 1.610
Se -3.706 -6.111 1.153
Se -3.348 -2.776 -0.635


[18]
11
Lattice="6.778 -0.035 0.060 -3.380 5.875 0.060 -1.206 -2.073 7.833" Properties=species:S:1:pos:R:3 comment="K2Zr2MnSe6 PBE optimized geometry" spacegroup=C2/m pbc="T T T"
K 5.096 0.944 0.060
K -1.698 4.897 0.060
Zr -0.603 2.872 3.976
Zr 2.794 0.896 3.976
Mn -0.603 -1.037 3.916
Se 1.643 2.824 5.514
Se -1.743 0.909 5.465
Se 0.549 0.943 2.438
Se 1.651 -1.066 5.465
Se 3.935 2.859 2.487
Se 0.540 4.834 2.487


[19]
15
Lattice="-4.219 -1.764 6.336 -2.561 -2.061 -7.095 6.909 -4.881 3.241" Properties=species:S:1:pos:R:3 comment="K3Zr3MnSe8 PBE optimized geometry" n_ef_per_ev_atom=0.34 spacegroup=C2/m pbc="T T T"
K 0.000 0.000 0.000
K -1.281 -1.030 -3.547
K -3.390 -1.912 -0.379
Zr 1.345 -3.322 4.789
Zr 0.065 -4.353 1.241
Zr 2.174 -3.471 -1.927
Mn 3.455 -2.440 1.621
Se -0.427 -3.020 -1.124
Se 0.557 -5.686 3.606
Se -2.498 -3.943 2.059
Se 2.627 -4.762 0.424
Se -1.225 -2.922 5.581
Se 1.354 -5.783 -3.099
Se 0.870 -2.046 2.435
Se -0.740 -6.659 0.047


Calculated total energy values, unit eV/atom, following the record order: -5.0190, -4.8730, -6.0226, -5.1808, -5.4482, -6.3135, -5.4206, -5.8485, -5.3902, -5.4261, -6.0965, -5.1270, -4.3824, -3.9144, -4.3862, -5.1261, -5.6163, -5.6855, -5.6304.
Uncorrected formation energy values, unit eV/atom, following the record order: -1.435, -1.151, -0.952, -0.825, -0.963, -0.979, -0.968, -1.142, -0.630, -1.444, -1.455, -1.156, -0.717, -0.820, -0.720, -0.978, -0.937, -1.197, -1.232.